A plane-wave DFT calculation with PBEsol was carried out for CdGaCo3 after structural relaxation.

Calculated values
SG: Pm-3m, No. 221
E_tot in Ha/atom: -0.1395
Distance to the lowest polymorph of the same formula in eV/atom: 0.839

Lattice parameters (Å, degrees): 4.602 4.602 4.602 90.00 90.00 90.00
Element x y z (fractional)
Co: 0.000 0.500 0.000
Co: 0.000 0.000 0.500
Co: 0.500 0.000 0.000
Cd: 0.000 0.000 0.000
Ga: 0.500 0.500 0.500